Material: La3Br2Cl3
Method: DFT, GGA-PBE
State: optimized geometry

Values from the calculation:
ΔE_f (raw) (eV per formula unit): -14.14
V (Å³/cell): 523

a = 5.9143 Å, b = 7.5266 Å, c = 12.7543 Å
α = 87.91°, β = 86.17°, γ = 67.40°
With the nearest neighbours (Å) after each atom.
Space group P1 (No. 1)
Symmetry-distinct sites (fractional):
1 La 0.0000 0.0000 0.0000  4 Cl 2.84-3.00, 1 Br 3.17
2 La 0.0065 0.9163 0.2895  3 Cl 2.86-3.00, 3 Br 3.00-3.10
3 La 0.0581 0.9435 0.7041  4 Cl 2.85-2.98, 2 Br 3.10-3.11
4 La 0.3527 0.2789 0.7917  3 Cl 2.93-2.99, 3 Br 3.01-3.03
5 La 0.3629 0.2569 0.2022  3 Cl 2.87-2.99, 3 Br 3.00-3.11
6 La 0.3952 0.1884 0.4969  4 Cl 2.82-3.08, 1 Br 2.99
7 Br 0.3580 0.5432 0.6073  3 La 2.99-3.10
8 Br 0.5273 0.8636 0.3215  4 La 3.00-3.21
9 Br 0.8227 0.3302 0.8244  4 La 3.01-3.19
10 Br 0.8381 0.3157 0.1781  4 La 3.00-3.17
11 Cl 0.1102 0.6728 0.8718  3 La 2.84-2.94
12 Cl 0.1399 0.5141 0.3736  3 La 2.82-3.00
13 Cl 0.2100 0.6559 0.1192  3 La 2.84-2.96
14 Cl 0.4686 0.0600 0.9949  4 La 2.97-3.00
15 Cl 0.5783 0.9091 0.6835  4 La 2.93-3.08
16 Cl 0.9282 0.1232 0.4939  4 La 2.97-3.00

Material: LaBrCl4
Method: DFT, GGA-PBE
State: optimized geometry

Values from the calculation:
ΔE_f (raw) (eV per formula unit): -4.87
V (Å³/cell): 564

a = 8.2625 Å, b = 8.2625 Å, c = 8.2625 Å
α = 90.00°, β = 90.00°, γ = 90.00°
With the nearest neighbours (Å) after each atom.
Space group F-43m (No. 216)
Symmetry-distinct sites (fractional):
1 La 0.0000 0.0000 0.0000  12 Cl 3.42, 4 Br 3.58
2 Br 0.2500 0.2500 0.7500  12 Cl 3.43, 4 La 3.58
3 Cl 0.1260 0.1260 0.3740  6 Cl 2.90-2.94

Material: La3BrCl
Method: DFT, GGA-PBE
State: optimized geometry

Values from the calculation:
ΔE_f (raw) (eV per formula unit): -1.72
V (Å³/cell): 185

a = 5.6989 Å, b = 5.6989 Å, c = 5.6989 Å
α = 90.00°, β = 90.00°, γ = 90.00°
With the nearest neighbours (Å) after each atom.
Space group Pm-3m (No. 221)
Symmetry-distinct sites (fractional):
1 La 0.0000 0.0000 0.5000  2 Br 2.85
2 Br 0.0000 0.0000 0.0000  6 La 2.85
3 Cl 0.5000 0.5000 0.5000  12 La 4.03

Question: Which of these has the highest V?
Answer: LaBrCl4